[1]
VASP calculation (GGA-PBE) on a relaxed Sr2Tl3Pd4Au crystal.

The space-group type is P-4m2, No. 115. The crystal system is tetragonal.

a = 4.383 Å, b = 4.383 Å, c = 12.454 Å
α = 90.00°, β = 90.00°, γ = 90.00°
Sites, in units of the cell vectors:
Tl1 0.000 0.000 0.500
Pd1 0.000 0.000 0.000
Au1 0.500 0.500 0.500
Pd2 0.500 0.000 0.646
Tl2 0.500 0.000 0.864
Pd3 0.500 0.500 0.000
Sr1 0.500 0.000 0.273
Tl3 0.000 0.500 0.136
Sr2 0.000 0.500 0.727
Pd4 0.000 0.500 0.354

[2]
VASP calculation (GGA-PBE) on a relaxed Sr2TmPdAu6 crystal.

The space-group type is Fm-3m, No. 225. The crystal system is cubic.

a = 7.463 Å, b = 7.463 Å, c = 7.463 Å
α = 60.00°, β = 60.00°, γ = 90.00°
Sites, in units of the cell vectors:
Au1 0.245 0.755 0.000
Au2 0.755 0.755 0.000
Au3 0.245 0.245 0.000
Au4 0.755 0.755 0.489
Sr1 0.750 0.250 0.500
Pd1 0.000 0.000 0.000
Au5 0.755 0.245 0.000
Au6 0.245 0.245 0.511
Tm1 0.500 0.500 0.000
Sr2 0.250 0.750 0.500

[3]
VASP calculation (GGA-PBE) on a relaxed SrVPdAu2 crystal.

The space-group type is P4/mmm, No. 123. The crystal system is tetragonal.

a = 4.828 Å, b = 5.508 Å, c = 4.828 Å
α = 90.00°, β = 90.00°, γ = 90.00°
Sites, in units of the cell vectors:
V1 0.000 0.000 0.000
Pd1 0.500 0.500 0.500
Sr1 0.000 0.500 0.000
Au1 0.500 0.000 0.000
Au2 0.000 0.000 0.500

[4]
VASP calculation (GGA-PBE) on a relaxed Sr2Zn4PdAu3 crystal.

The space-group type is P-4m2, No. 115. The crystal system is tetragonal.

a = 4.520 Å, b = 4.520 Å, c = 10.553 Å
α = 90.00°, β = 90.00°, γ = 90.00°
Sites, in units of the cell vectors:
Sr1 0.500 0.000 0.259
Zn1 0.000 0.000 0.000
Au1 0.500 0.000 0.866
Au2 0.000 0.500 0.134
Au3 0.000 0.000 0.500
Zn2 0.500 0.500 0.000
Sr2 0.000 0.500 0.741
Zn3 0.500 0.000 0.622
Pd1 0.500 0.500 0.500
Zn4 0.000 0.500 0.378

[5]
VASP calculation (GGA-PBE) on a relaxed Sr2Zn3PdAu4 crystal.

The space-group type is P-4m2, No. 115. The crystal system is tetragonal.

a = 4.479 Å, b = 4.479 Å, c = 10.943 Å
α = 90.00°, β = 90.00°, γ = 90.00°
Sites, in units of the cell vectors:
Au1 0.000 0.000 0.000
Pd1 0.500 0.500 0.500
Au2 0.500 0.000 0.643
Au3 0.000 0.500 0.357
Zn1 0.000 0.000 0.500
Sr1 0.000 0.500 0.746
Sr2 0.500 0.000 0.254
Zn2 0.000 0.500 0.125
Au4 0.500 0.500 0.000
Zn3 0.500 0.000 0.875

[6]
VASP calculation (GGA-PBE) on a relaxed Sr2Zn4Pd3Au crystal.

The space-group type is P-4m2, No. 115. The crystal system is tetragonal.

a = 4.559 Å, b = 4.559 Å, c = 10.023 Å
α = 90.00°, β = 90.00°, γ = 90.00°
Sites, in units of the cell vectors:
Zn1 0.000 0.500 0.371
Au1 0.500 0.500 0.500
Sr1 0.000 0.500 0.747
Zn2 0.500 0.500 0.000
Pd1 0.000 0.000 0.500
Zn3 0.000 0.000 0.000
Pd2 0.000 0.500 0.118
Zn4 0.500 0.000 0.629
Sr2 0.500 0.000 0.253
Pd3 0.500 0.000 0.882

[7]
VASP calculation (GGA-PBE) on a relaxed Sr2ZnPdAu6 crystal.

The space-group type is P-1, No. 2. The crystal system is triclinic.

a = 7.198 Å, b = 7.056 Å, c = 7.182 Å
α = 80.76°, β = 45.14°, γ = 98.03°
Sites, in units of the cell vectors:
Sr1 0.732 0.271 0.463
Sr2 0.268 0.729 0.537
Au1 0.246 0.738 0.013
Au2 0.751 0.738 0.507
Au3 0.250 0.107 0.146
Zn1 0.500 0.500 0.000
Au4 0.249 0.262 0.493
Pd1 0.000 0.000 0.000
Au5 0.754 0.262 0.987
Au6 0.750 0.893 0.854

[8]
VASP calculation (GGA-PBE) on a relaxed Sr2ZnPd2Au5 crystal.

The space-group type is P4/mbm, No. 127. The crystal system is tetragonal.

a = 4.013 Å, b = 10.231 Å, c = 10.231 Å
α = 90.00°, β = 90.00°, γ = 90.00°
Sites, in units of the cell vectors:
Zn1 0.000 0.000 0.000
Au1 0.500 0.444 0.307
Sr1 0.000 0.326 0.826
Au2 0.500 0.807 0.944
Sr2 0.000 0.174 0.326
Au3 0.500 0.307 0.556
Au4 0.500 0.193 0.056
Au5 0.500 0.693 0.444
Sr3 0.000 0.826 0.674
Au6 0.500 0.500 0.000
Pd1 0.000 0.128 0.628
Au7 0.500 0.556 0.693
Au8 0.500 0.056 0.807
Pd2 0.000 0.872 0.372
Sr4 0.000 0.674 0.174
Au9 0.500 0.944 0.193
Zn2 0.000 0.500 0.500
Pd3 0.000 0.628 0.872
Pd4 0.000 0.372 0.128
Au10 0.500 0.000 0.500

[9]
VASP calculation (GGA-PBE) on a relaxed Sr2Zn2PdAu5 crystal.

The space-group type is P4/mbm, No. 127. The crystal system is tetragonal.

a = 3.784 Å, b = 10.482 Å, c = 10.482 Å
α = 90.00°, β = 90.00°, γ = 90.00°
Sites, in units of the cell vectors:
Zn1 0.000 0.878 0.378
Au1 0.500 0.000 0.500
Au2 0.500 0.442 0.304
Pd1 0.000 0.000 0.000
Sr1 0.000 0.678 0.178
Au3 0.500 0.058 0.804
Zn2 0.000 0.378 0.122
Zn3 0.000 0.622 0.878
Au4 0.500 0.558 0.696
Au5 0.500 0.804 0.942
Sr2 0.000 0.178 0.322
Au6 0.500 0.942 0.196
Au7 0.500 0.196 0.058
Pd2 0.000 0.500 0.500
Au8 0.500 0.500 0.000
Sr3 0.000 0.322 0.822
Sr4 0.000 0.822 0.678
Zn4 0.000 0.122 0.622
Au9 0.500 0.304 0.558
Au10 0.500 0.696 0.442

[10]
VASP calculation (GGA-PBE) on a relaxed Ta2PdAu crystal.

The space-group type is I-42d, No. 122. The crystal system is tetragonal.

a = 7.397 Å, b = 7.397 Å, c = 5.891 Å
α = 51.11°, β = 51.11°, γ = 90.00°
Sites, in units of the cell vectors:
Ta1 0.375 0.394 0.750
Ta2 0.144 0.625 0.250
Au1 0.750 0.250 0.500
Pd1 0.500 0.500 0.000
Ta3 0.875 0.856 0.750
Pd2 0.250 0.750 0.500
Ta4 0.606 0.125 0.250
Au2 0.000 0.000 0.000

[11]
VASP calculation (GGA-PBE) on a relaxed TaPd2Au6 crystal.

The space-group type is C2/m, No. 12. The crystal system is monoclinic.

a = 3.963 Å, b = 6.574 Å, c = 6.618 Å
α = 107.88°, β = 107.43°, γ = 90.00°
Sites, in units of the cell vectors:
Au1 0.838 0.494 0.677
Ta1 0.500 0.500 0.000
Au2 0.718 0.835 0.437
Pd1 0.050 0.819 0.100
Au3 0.609 0.172 0.217
Au4 0.391 0.828 0.783
Au5 0.282 0.165 0.563
Au6 0.162 0.506 0.323
Pd2 0.950 0.181 0.900

[12]
VASP calculation (GGA-PBE) on a relaxed TaPdAu2 crystal.

The value obtained for the energy relative to the lowest polymorph listed for this composition is 490 meV/atom. The space-group type is I-42d, No. 122. The crystal system is tetragonal.

a = 7.448 Å, b = 7.448 Å, c = 5.927 Å
α = 51.08°, β = 51.08°, γ = 90.00°
Sites, in units of the cell vectors:
Ta1 0.000 0.000 0.000
Au1 0.632 0.125 0.250
Au2 0.375 0.368 0.750
Pd1 0.500 0.500 0.000
Au3 0.875 0.882 0.750
Au4 0.118 0.625 0.250
Ta2 0.750 0.250 0.500
Pd2 0.250 0.750 0.500

Total magnetization in Bohr magnetons per cell, matching the order above: 0.0; 0.0; 0.0; 0.0; 0.0; 0.0; 0.0; 0.0; 0.0; 0.0; 0.0; 0.0
ΔE_f in eV/atom, matching the order above: -0.41; -0.28; 0.76; -0.53; -0.49; -0.54; -0.48; -0.48; -0.44; 0.32; -0.12; 0.34
DOS(E_F) in states/eV/atom, matching the order above: 0.518; 0.336; 1.010; 0.414; 0.566; 0.343; 0.368; 0.369; 0.257; 0.821; 0.554; 1.064